Density functional theory data (PBE) for Y2Cd2Sn after structural relaxation.

Computed properties:
volume: 30.0 Å³ per atom
symmetry: No. 139
DFT formation energy: 67 meV per atom
total energy: -3.69 eV/atom

Cell: 7.117 7.117 7.117 Å, 139.59 139.59 58.48°
Fractional positions:
Y1 0.250 0.750 0.500
Y2 0.750 0.250 0.500
Cd1 0.105 0.105 0.000
Cd2 0.895 0.895 0.000
Sn1 0.500 0.500 0.000